Record 1
Here is a relaxed structure of Sm8ZnHg2 from Alexandria via LeMat-Bulk. Energies are from PBE-GGA. Values from VASP.

The structure in Quantum ESPRESSO input format:
```
&SYSTEM
  ibrav = 0, nat = 11, ntyp = 3
/
ATOMIC_SPECIES
Sm 150.36 Sm.upf
Zn 65.41 Zn.upf
Hg 200.59 Hg.upf
ATOMIC_POSITIONS crystal
Sm 0.0192 0.0192 0.2742
Sm 0.1987 0.1987 0.8126
Sm 0.3375 0.3375 0.5224
Sm 0.4095 0.4095 0.0413
Sm 0.5905 0.5905 0.9587
Sm 0.6625 0.6625 0.4776
Sm 0.8013 0.8013 0.1874
Sm 0.9808 0.9808 0.7258
Zn 0.5000 0.5000 0.5000
Hg 0.1806 0.1806 0.2294
Hg 0.8194 0.8194 0.7706
CELL_PARAMETERS angstrom
9.2540 -2.6476 0.0000
9.2540 2.6476 0.0000
-1.9840 0.0000 6.7202
```

Results
Total magnetization = 0.00 Bohr magnetons per cell
Final energy = -41.78 eV for the cell shown
Excess energy over the best structure of this formula in the dataset = 0.18 eV/f.u.
Space group = C2/m, No. 12

***

Record 2
Here is a relaxed structure of SmZnHg from Alexandria via LeMat-Bulk. Energies are from PBE-GGA. Values from VASP.

The structure in Quantum ESPRESSO input format:
```
&SYSTEM
  ibrav = 0, nat = 6, ntyp = 3
/
ATOMIC_SPECIES
Sm 150.36 Sm.upf
Zn 65.41 Zn.upf
Hg 200.59 Hg.upf
ATOMIC_POSITIONS crystal
Sm 0.0000 0.0000 0.0000
Sm 0.0000 0.0000 0.5000
Zn 0.3333 0.6667 0.2500
Zn 0.6667 0.3333 0.7500
Hg 0.3333 0.6667 0.7500
Hg 0.6667 0.3333 0.2500
CELL_PARAMETERS angstrom
4.7252 0.0000 0.0000
-2.3626 4.0921 0.0000
0.0000 0.0000 7.2489
```

Results
Total magnetization = 0.00 Bohr magnetons per cell
Final energy = -15.01 eV for the cell shown
Space group = P6_3/mmc, No. 194

***

Number 1 is which compound? Sm8ZnHg2